Record 1
Below is a geometry-optimized LaPm2Pr structure, with properties calculated at the PBE-GGA level.

Values from the calculation:
For the volume, the calculation gives 35.48 Å³/atom. The value obtained for the calculated formation energy is 0.01 eV/atom. The value obtained for the final energy is -4.788 eV/atom.

```
data_LaPm2Pr
_chemical_formula_sum 'La1 Pm2 Pr1'
_symmetry_space_group_name_H-M 'P 4/m m m'
_symmetry_Int_Tables_number 123
_symmetry_space_group_name_Hall '-P 4 2'
_cell_length_a 5.2248
_cell_length_b 5.2248
_cell_length_c 5.1985
_cell_angle_alpha 90.00
_cell_angle_beta 90.00
_cell_angle_gamma 90.00
loop_
_atom_site_label
_atom_site_type_symbol
_atom_site_fract_x
_atom_site_fract_y
_atom_site_fract_z
La1 La 0.0000 0.0000 0.0000
Pm1 Pm 0.0000 0.5000 0.5000
Pr1 Pr 0.5000 0.5000 0.0000
```

Record 2
Below is a geometry-optimized In6Hg5 structure, with properties calculated at the PBE-GGA level.

Values from the calculation:
For the volume, the calculation gives 27.61 Å³/atom. The value obtained for the calculated formation energy is 0.02 eV/atom. The value obtained for the final energy is -1.610 eV/atom.

```
data_In6Hg5
_chemical_formula_sum 'In12 Hg10'
_symmetry_space_group_name_H-M 'I m m m'
_symmetry_Int_Tables_number 71
_symmetry_space_group_name_Hall '-I 2 2'
_cell_length_a 4.8841
_cell_length_b 8.2887
_cell_length_c 15.0027
_cell_angle_alpha 90.00
_cell_angle_beta 90.00
_cell_angle_gamma 90.00
loop_
_atom_site_label
_atom_site_type_symbol
_atom_site_fract_x
_atom_site_fract_y
_atom_site_fract_z
In1 In 0.0000 0.2459 0.0000
In2 In 0.0000 0.2531 0.3368
Hg1 Hg 0.0000 0.0000 0.1779
Hg2 Hg 0.0000 0.5000 0.1514
Hg3 Hg 0.0000 0.5000 0.5000
```

Record 3
Below is a geometry-optimized LiTa2 structure, with properties calculated at the PBE-GGA level.

Values from the calculation:
For the volume, the calculation gives 18.99 Å³/atom. The value obtained for the calculated formation energy is 0.86 eV/atom. The value obtained for the final energy is -7.680 eV/atom.

```
data_LiTa2
_chemical_formula_sum 'Li4 Ta8'
_symmetry_space_group_name_H-M 'I m m a'
_symmetry_Int_Tables_number 74
_symmetry_space_group_name_Hall '-I 2b 2'
_cell_length_a 2.8202
_cell_length_b 4.2988
_cell_length_c 18.7985
_cell_angle_alpha 90.00
_cell_angle_beta 90.00
_cell_angle_gamma 90.00
loop_
_atom_site_label
_atom_site_type_symbol
_atom_site_fract_x
_atom_site_fract_y
_atom_site_fract_z
Li1 Li 0.0000 0.2500 0.1095
Ta1 Ta 0.0000 0.2500 0.5445
Ta2 Ta 0.0000 0.2500 0.6879
```

Record 4
Below is a geometry-optimized Ti5Al4V structure, with properties calculated at the PBE-GGA level.

Values from the calculation:
For the volume, the calculation gives 17.39 Å³/atom. The value obtained for the calculated formation energy is 0.12 eV/atom. The value obtained for the final energy is -6.236 eV/atom.

```
data_Ti5Al4V
_chemical_formula_sum 'Ti10 Al8 V2'
_symmetry_space_group_name_H-M 'I 4/m m m'
_symmetry_Int_Tables_number 139
_symmetry_space_group_name_Hall '-I 4 2'
_cell_length_a 8.9375
_cell_length_b 8.9375
_cell_length_c 4.3539
_cell_angle_alpha 90.00
_cell_angle_beta 90.00
_cell_angle_gamma 90.00
loop_
_atom_site_label
_atom_site_type_symbol
_atom_site_fract_x
_atom_site_fract_y
_atom_site_fract_z
Ti1 Ti 0.0000 0.0000 0.0000
Ti2 Ti 0.1858 0.1858 0.5000
Al1 Al 0.0000 0.3229 0.0000
V1 V 0.0000 0.0000 0.5000
```

> Which formula does entry 3 have?

LiTa2

Copy entry 3 word for word.
Below is a geometry-optimized LiTa2 structure, with properties calculated at the PBE-GGA level.

Values from the calculation:
For the volume, the calculation gives 18.99 Å³/atom. The value obtained for the calculated formation energy is 0.86 eV/atom. The value obtained for the final energy is -7.680 eV/atom.

```
data_LiTa2
_chemical_formula_sum 'Li4 Ta8'
_symmetry_space_group_name_H-M 'I m m a'
_symmetry_Int_Tables_number 74
_symmetry_space_group_name_Hall '-I 2b 2'
_cell_length_a 2.8202
_cell_length_b 4.2988
_cell_length_c 18.7985
_cell_angle_alpha 90.00
_cell_angle_beta 90.00
_cell_angle_gamma 90.00
loop_
_atom_site_label
_atom_site_type_symbol
_atom_site_fract_x
_atom_site_fract_y
_atom_site_fract_z
Li1 Li 0.0000 0.2500 0.1095
Ta1 Ta 0.0000 0.2500 0.5445
Ta2 Ta 0.0000 0.2500 0.6879
```

> Look up the calculated formation energy of the fourth one.

0.12 eV/atom

> What is the formula in the second record?

In6Hg5